KMo2RhO8 PBE+U relaxed; volume = 209.8 Å³/cell; SG = C2/m, No. 12; E = -0.2455 hartree per atom; magnetic moment = 0.0 μB/f.u.
1.0
-5.338 -0.625 -0.797
-1.389 -4.405 -2.861
-0.730 -4.317 6.509
K Mo Rh O
1 2 1 8
direct
0.000 0.000 0.500 K
0.636 0.636 0.203 Mo
0.364 0.364 0.797 Mo
0.000 0.000 0.000 Rh
0.735 0.221 0.817 O
0.784 0.784 0.046 O
0.698 0.698 0.411 O
0.302 0.302 0.589 O
0.216 0.216 0.954 O
0.221 0.735 0.817 O
0.779 0.265 0.183 O
0.265 0.779 0.183 O